Entry 1:
An optimized crystal structure of AsAu2Cl, computed with PBE.

Lattice parameters (Å, degrees): 4.866 4.866 7.493 117.14 117.14 42.48
Fractional positions:
As: 0.000 0.000 0.000
Au: 0.259 0.259 0.957
Au: 0.422 0.422 0.716
Cl: 0.849 0.849 0.446

Properties
E above lowest polymorph: 0 meV per atom
D(E_F): 0.5 states/eV/cell
E_form (uncorrected): -36 meV/atom
space-group type: No. 8
calculated volume: 104.5 Å³ per cell
magnetic moment: 0.0 μB/f.u.

=====

Entry 2:
An optimized crystal structure of As2AuCl, computed with PBE.

Lattice parameters (Å, degrees): 4.063 4.063 6.657 96.80 96.80 62.62
Fractional positions:
As: 0.161 0.161 0.170
As: 0.839 0.839 0.830
Au: 0.500 0.500 0.000
Cl: 0.000 0.000 0.500

Properties
E above lowest polymorph: 65 meV per atom
D(E_F): 1.0 states/eV/cell
E_form (uncorrected): -57 meV/atom
space-group type: No. 12
calculated volume: 96.6 Å³ per cell
magnetic moment: 0.0 μB/f.u.

=====

Entry 3:
An optimized crystal structure of AsAuCl2, computed with PBE.

Lattice parameters (Å, degrees): 4.862 4.862 4.862 60.00 60.00 60.00
Fractional positions:
As: 0.000 0.000 0.000
Au: 0.500 0.500 0.500
Cl: 0.250 0.250 0.250
Cl: 0.750 0.750 0.750

Properties
E above lowest polymorph: 888 meV per atom
D(E_F): 3.2 states/eV/cell
E_form (uncorrected): 522 meV/atom
space-group type: No. 225
calculated volume: 81.3 Å³ per cell
magnetic moment: 0.0 μB/f.u.

=====

Entry 4:
An optimized crystal structure of AsAuCl2, computed with PBE.

Lattice parameters (Å, degrees): 3.309 3.309 8.389 90.00 90.00 90.00
Fractional positions:
As: 0.000 0.000 0.000
Au: 0.500 0.500 0.184
Cl: 0.000 0.000 0.379
Cl: 0.500 0.500 0.793

Properties
E above lowest polymorph: 439 meV per atom
D(E_F): 0.6 states/eV/cell
E_form (uncorrected): 73 meV/atom
space-group type: No. 99
calculated volume: 91.8 Å³ per cell
magnetic moment: 0.0 μB/f.u.

=====

Entry 5:
An optimized crystal structure of AsAu2Cl, computed with PBE.

Lattice parameters (Å, degrees): 7.303 7.303 7.303 30.17 30.17 30.17
Fractional positions:
As: 0.000 0.000 0.000
Au: 0.475 0.475 0.475
Au: 0.729 0.729 0.729
Cl: 0.218 0.218 0.218

Properties
E above lowest polymorph: 56 meV per atom
D(E_F): 1.8 states/eV/cell
E_form (uncorrected): 20 meV/atom
space-group type: No. 160
calculated volume: 87.1 Å³ per cell
magnetic moment: 0.0 μB/f.u.

=====

Entry 6:
An optimized crystal structure of As2AuCl, computed with PBE.

Lattice parameters (Å, degrees): 3.148 3.148 7.958 90.00 90.00 90.00
Fractional positions:
As: 0.000 0.000 0.226
As: 0.000 0.000 0.774
Au: 0.500 0.500 0.000
Cl: 0.500 0.500 0.500

Properties
E above lowest polymorph: 359 meV per atom
D(E_F): 1.5 states/eV/cell
E_form (uncorrected): 237 meV/atom
space-group type: No. 123
calculated volume: 78.9 Å³ per cell
magnetic moment: 0.0 μB/f.u.

=====

Entry 7:
An optimized crystal structure of AsAu2Cl, computed with PBE.

Lattice parameters (Å, degrees): 3.794 3.608 6.987 90.00 95.50 90.00
Fractional positions:
As: 0.000 0.000 0.000
Au: 0.389 0.500 0.872
Au: 0.733 0.000 0.653
Cl: 0.718 0.500 0.390

Properties
E above lowest polymorph: 8 meV per atom
D(E_F): 0.2 states/eV/cell
E_form (uncorrected): -28 meV/atom
space-group type: No. 6
calculated volume: 95.2 Å³ per cell
magnetic moment: 0.0 μB/f.u.

=====

Entry 8:
An optimized crystal structure of AsAuCl2, computed with PBE.

Lattice parameters (Å, degrees): 3.051 3.051 10.116 90.00 90.00 90.00
Fractional positions:
As: 0.000 0.000 0.000
Au: 0.000 0.000 0.500
Cl: 0.500 0.500 0.172
Cl: 0.500 0.500 0.828

Properties
E above lowest polymorph: 758 meV per atom
D(E_F): 2.2 states/eV/cell
E_form (uncorrected): 392 meV/atom
space-group type: No. 123
calculated volume: 94.2 Å³ per cell
magnetic moment: 0.0 μB/f.u.

=====

Number 7 is which compound?
AsAu2Cl